First-principles (GGA-PBE) data for a relaxed TaTc2HRu crystal, as listed in Alexandria via LeMat-Bulk.

```
data_TaTc2HRu
_chemical_formula_sum 'Ta1 Tc2 H1 Ru1'
_cell_length_a 3.938
_cell_length_b 3.938
_cell_length_c 4.064
_cell_angle_alpha 90.00
_cell_angle_beta 90.00
_cell_angle_gamma 90.00
_space_group_name_H-M_alt 'P 4/m m m'
_space_group_IT_number 123
_space_group_name_Hall '-P 4 2'
loop_
_atom_site_label
_atom_site_fract_x
_atom_site_fract_y
_atom_site_fract_z
Ta1 0.000 0.000 0.000
Tc1 0.000 0.500 0.500
H1 0.000 0.000 0.500
Ru1 0.500 0.500 0.000
```

Computed properties:
distance to the lowest polymorph of the same formula = 0.029 eV/atom
volume = 12.61 Å³/atom

=====

First-principles (GGA-PBE) data for a relaxed TaTi2HRu crystal, as listed in Alexandria via LeMat-Bulk.

```
data_TaTi2HRu
_chemical_formula_sum 'Ta1 Ti2 H1 Ru1'
_cell_length_a 3.816
_cell_length_b 3.816
_cell_length_c 4.597
_cell_angle_alpha 90.00
_cell_angle_beta 90.00
_cell_angle_gamma 90.00
_space_group_name_H-M_alt 'P 4/m m m'
_space_group_IT_number 123
_space_group_name_Hall '-P 4 2'
loop_
_atom_site_label
_atom_site_fract_x
_atom_site_fract_y
_atom_site_fract_z
Ta1 0.000 0.000 0.000
Ti1 0.000 0.500 0.500
H1 0.000 0.000 0.500
Ru1 0.500 0.500 0.000
```

Computed properties:
calculated total energy = -41.31 eV per cell
volume = 13.39 Å³/atom

=====

First-principles (GGA-PBE) data for a relaxed Ta2TiHRu crystal, as listed in Alexandria via LeMat-Bulk.

```
data_Ta2TiHRu
_chemical_formula_sum 'Ta2 Ti1 H1 Ru1'
_cell_length_a 3.946
_cell_length_b 3.946
_cell_length_c 4.477
_cell_angle_alpha 90.00
_cell_angle_beta 90.00
_cell_angle_gamma 90.00
_space_group_name_H-M_alt 'P 4/m m m'
_space_group_IT_number 123
_space_group_name_Hall '-P 4 2'
loop_
_atom_site_label
_atom_site_fract_x
_atom_site_fract_y
_atom_site_fract_z
Ta1 0.000 0.500 0.000
Ti1 0.000 0.000 0.500
H1 0.000 0.000 0.000
Ru1 0.500 0.500 0.500
```

Computed properties:
calculated total energy = -44.62 eV per cell
volume = 13.94 Å³/atom

=====

First-principles (GGA-PBE) data for a relaxed Ta2VHRu6 crystal, as listed in Alexandria via LeMat-Bulk.

```
data_Ta2VHRu6
_chemical_formula_sum 'Ta2 V1 H1 Ru6'
_cell_length_a 5.040
_cell_length_b 5.229
_cell_length_c 6.518
_cell_angle_alpha 71.52
_cell_angle_beta 74.02
_cell_angle_gamma 61.72
_space_group_name_H-M_alt 'P -1'
_space_group_IT_number 2
_space_group_name_Hall '-P 1'
loop_
_atom_site_label
_atom_site_fract_x
_atom_site_fract_y
_atom_site_fract_z
Ta1 0.171 0.195 0.381
V1 0.500 0.500 0.500
H1 0.000 0.000 0.000
Ru1 0.166 0.762 0.242
Ru2 0.266 0.252 0.924
Ru3 0.341 0.740 0.816
```

Computed properties:
calculated total energy = -91.51 eV per cell
volume = 14.18 Å³/atom